Version 1
DFT (PBEsol) results for a relaxed structure of SbPPt.

## Properties
theoretical density	10.3	g/cm³
symmetry	P2_13, No. 198
magnetization	0.00	μB/f.u.

a = 6.075 Å, b = 6.075 Å, c = 6.075 Å
α = 90.00°, β = 90.00°, γ = 90.00°
Element x y z (fractional)
Sb: 0.120 0.380 0.620
Sb: 0.380 0.620 0.120
Sb: 0.620 0.120 0.380
Sb: 0.880 0.880 0.880
P: 0.119 0.119 0.119
P: 0.381 0.881 0.619
P: 0.619 0.381 0.881
P: 0.881 0.619 0.381
Pt: 0.020 0.980 0.480
Pt: 0.480 0.020 0.980
Pt: 0.520 0.520 0.520
Pt: 0.980 0.480 0.020

Version 2
DFT (PBEsol) results for a relaxed structure of SbPPt.

## Properties
theoretical density	10.5	g/cm³
symmetry	P-6m2, No. 187
magnetization	0.00	μB/f.u.

a = 4.624 Å, b = 4.624 Å, c = 2.959 Å
α = 90.00°, β = 90.00°, γ = 120.00°
Element x y z (fractional)
Sb: 0.000 0.000 0.000
P: 0.667 0.333 0.500
Pt: 0.333 0.667 0.000

In meV per atom, relative to the most stable structure: version 1 0; version 2 944.